Record 1
{
  "formula": "PmTe2Pb",
  "functional": "PBE",
  "state": "optimized geometry",
  "lattice_angstrom": [[4.549, 0.000, 0.000], [0.000, 4.549, 0.000], [0.000, 0.000, 6.475]],
  "species": ["Pb", "Pm", "Te", "Te"],
  "fractional_positions": [[0.000, 0.000, 0.000], [0.500, 0.500, 0.500], [0.500, 0.500, 0.000], [0.000, 0.000, 0.500]],
  "total_energy_ev_per_atom": -4.53,
  "total_magnetization_mub_per_fu": 0.01,
  "volume_a3_per_cell": 134
}

***

Record 2
{
  "formula": "ZrGeNO",
  "functional": "PBE",
  "state": "optimized geometry",
  "lattice_angstrom": [[4.646, 0.000, 0.000], [0.000, 5.797, 0.000], [0.000, 0.000, 8.143]],
  "species": ["Ge", "Ge", "Ge", "Ge", "N", "N", "N", "N", "O", "O", "O", "O", "Zr", "Zr", "Zr", "Zr"],
  "fractional_positions": [[0.087, 0.576, 0.115], [0.587, 0.924, 0.115], [0.087, 0.076, 0.885], [0.587, 0.424, 0.885], [0.674, 0.572, 0.099], [0.174, 0.928, 0.099], [0.674, 0.072, 0.901], [0.174, 0.428, 0.901], [0.449, 0.118, 0.434], [0.949, 0.382, 0.434], [0.449, 0.618, 0.566], [0.949, 0.882, 0.566], [0.992, 0.050, 0.343], [0.492, 0.450, 0.343], [0.992, 0.550, 0.657], [0.492, 0.950, 0.657]],
  "total_magnetization_mub_per_fu": 0.00,
  "volume_a3_per_cell": 219,
  "e_above_lowest_polymorph_mev_per_atom": 94.6
}

***

Record 3
{
  "formula": "TcHgAsO",
  "functional": "PBE",
  "state": "optimized geometry",
  "lattice_angstrom": [[1.571, 3.640, -0.085], [-2.700, 1.100, -2.687], [-5.467, 2.512, 6.521]],
  "species": ["As", "As", "Hg", "Hg", "O", "O", "Tc", "Tc"],
  "fractional_positions": [[0.750, 0.250, 0.293], [0.250, 0.750, 0.707], [0.250, 0.250, 0.000], [0.750, 0.750, 0.000], [0.250, 0.250, 0.500], [0.750, 0.750, 0.500], [0.250, 0.750, 0.412], [0.750, 0.250, 0.588]],
  "total_magnetization_mub_per_fu": 0.00,
  "volume_a3_per_cell": 139,
  "e_above_lowest_polymorph_mev_per_atom": 592.4
}

***

Record 4
{
  "formula": "PrMoAs",
  "functional": "PBE",
  "state": "optimized geometry",
  "lattice_angstrom": [[0.000, 3.280, 3.280], [3.280, 0.000, 3.280], [3.280, 3.280, 0.000]],
  "species": ["As", "Mo", "Pr"],
  "fractional_positions": [[0.000, 0.000, 0.000], [0.250, 0.250, 0.250], [0.750, 0.750, 0.750]],
  "total_energy_ev_per_atom": -6.68,
  "total_magnetization_mub_per_fu": 0.03,
  "volume_a3_per_cell": 71
}

***

Record 5
{
  "formula": "RbTlFe",
  "functional": "PBE",
  "state": "optimized geometry",
  "lattice_angstrom": [[-1.144, -2.433, 4.457], [-3.566, 2.005, 3.218], [-4.607, -2.355, 0.572]],
  "species": ["Fe", "Rb", "Tl"],
  "fractional_positions": [[0.000, 0.000, 0.000], [0.250, 0.250, 0.250], [0.750, 0.750, 0.750]],
  "total_magnetization_mub_per_fu": 2.60,
  "volume_a3_per_cell": 100,
  "e_above_lowest_polymorph_mev_per_atom": 0.0
}

***

Record 6
{
  "formula": "YZr2Mo",
  "functional": "PBE",
  "state": "optimized geometry",
  "lattice_angstrom": [[1.714, -2.213, 4.131], [-2.580, -3.727, 2.088], [1.747, -4.670, -0.212]],
  "species": ["Mo", "Y", "Zr", "Zr"],
  "fractional_positions": [[0.500, 0.500, 0.500], [0.750, 0.750, 0.750], [0.000, 0.000, 0.000], [0.250, 0.250, 0.250]],
  "total_magnetization_mub_per_fu": 0.01,
  "formation_energy_ev_per_fu": 1.3,
  "volume_a3_per_cell": 88
}

***

Record 7
{
  "formula": "PrSiH2O4",
  "functional": "PBE",
  "state": "optimized geometry",
  "lattice_angstrom": [[-3.551, 3.996, 11.728], [-3.571, -5.551, 0.810], [3.855, -2.376, 0.717]],
  "species": ["H", "H", "H", "H", "H", "H", "H", "H", "O", "O", "O", "O", "O", "O", "O", "O", "O", "O", "O", "O", "O", "O", "O", "O", "Pr", "Pr", "Pr", "Pr", "Si", "Si", "Si", "Si"],
  "fractional_positions": [[0.954, 0.731, 0.347], [0.454, 0.769, 0.347], [0.254, 0.952, 0.482], [0.754, 0.548, 0.482], [0.746, 0.048, 0.518], [0.246, 0.452, 0.518], [0.046, 0.269, 0.653], [0.546, 0.231, 0.653], [0.945, 0.659, 0.129], [0.445, 0.841, 0.129], [0.194, 0.039, 0.131], [0.694, 0.461, 0.131], [0.714, 0.086, 0.302], [0.214, 0.414, 0.302], [0.037, 0.192, 0.377], [0.537, 0.308, 0.377], [0.463, 0.692, 0.623], [0.963, 0.808, 0.623], [0.286, 0.914, 0.698], [0.786, 0.586, 0.698], [0.806, 0.961, 0.869], [0.306, 0.539, 0.869], [0.055, 0.341, 0.871], [0.555, 0.159, 0.871], [0.366, 0.207, 0.068], [0.866, 0.293, 0.068], [0.134, 0.707, 0.932], [0.634, 0.793, 0.932], [0.124, 0.232, 0.186], [0.624, 0.268, 0.186], [0.376, 0.732, 0.814], [0.876, 0.768, 0.814]],
  "total_magnetization_mub_per_fu": 0.01,
  "volume_a3_per_cell": 380,
  "e_above_lowest_polymorph_mev_per_atom": 12.4
}

***

Record 8
{
  "formula": "GdFeHg",
  "functional": "PBE",
  "state": "optimized geometry",
  "lattice_angstrom": [[0.000, 3.408, 3.408], [3.408, 0.000, 3.408], [3.408, 3.408, 0.000]],
  "species": ["Fe", "Gd", "Hg"],
  "fractional_positions": [[0.250, 0.250, 0.250], [0.000, 0.000, 0.000], [0.750, 0.750, 0.750]],
  "total_magnetization_mub_per_fu": 2.04,
  "formation_energy_ev_per_fu": 2.0,
  "volume_a3_per_cell": 79,
  "e_above_lowest_polymorph_mev_per_atom": 287.7
}